[1]
# ErTmAg2Se4 | Alexandria | PBE | relaxed
# Final energy (eV for the cell shown): -37.92
# ΔE_f (raw) (eV/atom): -1.156
# Total magnetic moment (μB/atom): 0.00
data_ErTmAg2Se4
_chemical_formula_sum 'Er1 Tm1 Ag2 Se4'
_symmetry_space_group_name_H-M 'P 1 2/m 1'
_symmetry_Int_Tables_number 10
_cell_length_a 6.923
_cell_length_b 4.130
_cell_length_c 7.150
_cell_angle_alpha 90.00
_cell_angle_beta 109.84
_cell_angle_gamma 90.00
loop_
_symmetry_equiv_pos_as_xyz
'x,y,z'
'-x,-y,-z'
'-x,y,-z'
'x,-y,z'
loop_
_atom_site_label
_atom_site_type_symbol
_atom_site_fract_x
_atom_site_fract_y
_atom_site_fract_z
Er1 Er 0.000 0.000 0.000
Tm1 Tm 0.000 0.500 0.500
Ag1 Ag 0.500 0.000 0.500
Ag2 Ag 0.500 0.500 0.000
Se1 Se 0.242 0.000 0.745
Se2 Se 0.242 0.500 0.247

***

[2]
# TlIn4Br | Alexandria | PBE | relaxed
# Final energy (eV for the cell shown): -61.21
# ΔE_f (raw) (eV/atom): -0.052
# Total magnetic moment (μB/atom): 0.00
data_TlIn4Br
_chemical_formula_sum 'Tl4 In16 Br4'
_symmetry_space_group_name_H-M 'F -4 3 m'
_symmetry_Int_Tables_number 216
_symmetry_space_group_name_Hall 'F -4 2 3'
_cell_length_a 8.978
_cell_length_b 8.978
_cell_length_c 8.978
_cell_angle_alpha 90.00
_cell_angle_beta 90.00
_cell_angle_gamma 90.00
loop_
_atom_site_label
_atom_site_type_symbol
_atom_site_fract_x
_atom_site_fract_y
_atom_site_fract_z
Tl1 Tl 0.000 0.000 0.000
In1 In 0.125 0.125 0.375
Br1 Br 0.250 0.250 0.750

***

[3]
# ThSi2NiIr5 | Alexandria | PBE | relaxed
# Final energy (eV for the cell shown): -71.27
# ΔE_f (raw) (eV/atom): -0.324
# Total magnetic moment (μB/atom): 0.00
data_ThSi2NiIr5
_chemical_formula_sum 'Th1 Si2 Ni1 Ir5'
_symmetry_space_group_name_H-M 'P 4/m m m'
_symmetry_Int_Tables_number 123
_symmetry_space_group_name_Hall '-P 4 2'
_cell_length_a 3.969
_cell_length_b 3.969
_cell_length_c 10.339
_cell_angle_alpha 90.00
_cell_angle_beta 90.00
_cell_angle_gamma 90.00
loop_
_atom_site_label
_atom_site_type_symbol
_atom_site_fract_x
_atom_site_fract_y
_atom_site_fract_z
Th1 Th 0.000 0.000 0.000
Si1 Si 0.500 0.500 0.230
Ni1 Ni 0.000 0.000 0.500
Ir1 Ir 0.000 0.500 0.354
Ir2 Ir 0.500 0.500 0.000

***

[4]
# TlGeAu2 | Alexandria | PBE | relaxed
# Final energy (eV for the cell shown): -13.21
# Calculated formation energy (eV/atom): 0.0817
# Total magnetic moment (μB/atom): 0.00
data_TlGeAu2
_chemical_formula_sum 'Tl1 Ge1 Au2'
_symmetry_space_group_name_H-M 'P -3 m 1'
_symmetry_Int_Tables_number 164
_symmetry_space_group_name_Hall '-P 3 2"'
_cell_length_a 3.8201
_cell_length_b 3.8201
_cell_length_c 7.3195
_cell_angle_alpha 90.00
_cell_angle_beta 90.00
_cell_angle_gamma 120.00
loop_
_atom_site_label
_atom_site_type_symbol
_atom_site_fract_x
_atom_site_fract_y
_atom_site_fract_z
Tl1 Tl 0.0000 0.0000 0.0000
Ge1 Ge 0.0000 0.0000 0.5000
Au1 Au 0.3333 0.6667 0.2896

***

[5]
# CoSiSn2Au | Alexandria | PBE | relaxed
# Final energy (eV for the cell shown): -19.25
# ΔE_f (raw) (eV/atom): 0.913
# Total magnetic moment (μB/atom): 0.38
data_CoSiSn2Au
_chemical_formula_sum 'Co1 Si1 Sn2 Au1'
_symmetry_space_group_name_H-M 'P 4/m m m'
_symmetry_Int_Tables_number 123
_symmetry_space_group_name_Hall '-P 4 2'
_cell_length_a 5.219
_cell_length_b 5.219
_cell_length_c 4.687
_cell_angle_alpha 90.00
_cell_angle_beta 90.00
_cell_angle_gamma 90.00
loop_
_atom_site_label
_atom_site_type_symbol
_atom_site_fract_x
_atom_site_fract_y
_atom_site_fract_z
Co1 Co 0.000 0.000 0.000
Si1 Si 0.500 0.500 0.500
Sn1 Sn 0.000 0.500 0.500
Au1 Au 0.500 0.500 0.000

***

[6]
# ZrCu3Si | Alexandria | PBE | relaxed
# Final energy (eV for the cell shown): -25.05
# ΔE_f (raw) (eV/atom): 0.242
# Total magnetic moment (μB/atom): 0.00
data_ZrCu3Si
_chemical_formula_sum 'Zr1 Cu3 Si1'
_symmetry_space_group_name_H-M 'P m -3 m'
_symmetry_Int_Tables_number 221
_symmetry_space_group_name_Hall '-P 4 2 3'
_cell_length_a 4.337
_cell_length_b 4.337
_cell_length_c 4.337
_cell_angle_alpha 90.00
_cell_angle_beta 90.00
_cell_angle_gamma 90.00
loop_
_atom_site_label
_atom_site_type_symbol
_atom_site_fract_x
_atom_site_fract_y
_atom_site_fract_z
Zr1 Zr 0.000 0.000 0.000
Cu1 Cu 0.000 0.500 0.500
Si1 Si 0.500 0.500 0.500

***

[7]
# Mg3MnBr | Alexandria | PBE | relaxed
# Final energy (eV for the cell shown): -12.39
# ΔE_f (raw) (eV/atom): 0.648
# Total magnetic moment (μB/atom): 0.89
data_Mg3MnBr
_chemical_formula_sum 'Mg3 Mn1 Br1'
_symmetry_space_group_name_H-M 'P m -3 m'
_symmetry_Int_Tables_number 221
_symmetry_space_group_name_Hall '-P 4 2 3'
_cell_length_a 5.190
_cell_length_b 5.190
_cell_length_c 5.190
_cell_angle_alpha 90.00
_cell_angle_beta 90.00
_cell_angle_gamma 90.00
loop_
_atom_site_label
_atom_site_type_symbol
_atom_site_fract_x
_atom_site_fract_y
_atom_site_fract_z
Mg1 Mg 0.000 0.000 0.500
Mn1 Mn 0.500 0.500 0.500
Br1 Br 0.000 0.000 0.000

***

[8]
# RbSbAs2Pd4 | Alexandria | PBE | relaxed
# Final energy (eV for the cell shown): -38.39
# ΔE_f (raw) (eV/atom): -0.403
# Total magnetic moment (μB/atom): 0.00
data_RbSbAs2Pd4
_chemical_formula_sum 'Rb1 Sb1 As2 Pd4'
_symmetry_space_group_name_H-M 'P 4/m m m'
_symmetry_Int_Tables_number 123
_symmetry_space_group_name_Hall '-P 4 2'
_cell_length_a 4.191
_cell_length_b 4.191
_cell_length_c 10.459
_cell_angle_alpha 90.00
_cell_angle_beta 90.00
_cell_angle_gamma 90.00
loop_
_atom_site_label
_atom_site_type_symbol
_atom_site_fract_x
_atom_site_fract_y
_atom_site_fract_z
Rb1 Rb 0.000 0.000 0.000
Sb1 Sb 0.000 0.000 0.500
As1 As 0.500 0.500 0.203
Pd1 Pd 0.000 0.500 0.334

***

[9]
# MgAl2Mo | Alexandria | PBE | relaxed
# Final energy (eV for the cell shown): -59.18
# Calculated formation energy (eV/atom): 0.0459
# Total magnetic moment (μB/atom): 0.12
data_MgAl2Mo
_chemical_formula_sum 'Mg3 Al6 Mo3'
_symmetry_space_group_name_H-M 'R -3 m'
_symmetry_Int_Tables_number 166
_symmetry_space_group_name_Hall '-R 3 2"'
_cell_length_a 2.9530
_cell_length_b 2.9530
_cell_length_c 27.4640
_cell_angle_alpha 90.00
_cell_angle_beta 90.00
_cell_angle_gamma 120.00
loop_
_atom_site_label
_atom_site_type_symbol
_atom_site_fract_x
_atom_site_fract_y
_atom_site_fract_z
Mg1 Mg 0.0000 0.0000 0.0000
Al1 Al 0.0000 0.0000 0.2447
Mo1 Mo 0.0000 0.0000 0.5000

***

[10]
# SrIn2Ge | Alexandria | PBE | relaxed
# Final energy (eV for the cell shown): -48.59
# Calculated formation energy (eV/atom): -0.0929
# Total magnetic moment (μB/atom): 0.00
data_SrIn2Ge
_chemical_formula_sum 'Sr4 In8 Ge4'
_symmetry_space_group_name_H-M 'I -4 2 d'
_symmetry_Int_Tables_number 122
_symmetry_space_group_name_Hall 'I -4 2bw'
_cell_length_a 4.667
_cell_length_b 4.667
_cell_length_c 21.924
_cell_angle_alpha 90.00
_cell_angle_beta 90.00
_cell_angle_gamma 90.00
loop_
_atom_site_label
_atom_site_type_symbol
_atom_site_fract_x
_atom_site_fract_y
_atom_site_fract_z
Sr1 Sr 0.000 0.000 0.000
In1 In 0.204 0.250 0.625
Ge1 Ge 0.000 0.000 0.500

***

[11]
# K5Al3 | Alexandria | PBE | relaxed
# Final energy (eV for the cell shown): -28.64
# Calculated formation energy (eV/atom): 0.2997
# Total magnetic moment (μB/atom): 0.00
data_K5Al3
_chemical_formula_sum 'K10 Al6'
_symmetry_space_group_name_H-M 'C m m m'
_symmetry_Int_Tables_number 65
_symmetry_space_group_name_Hall '-C 2 2'
_cell_length_a 12.737
_cell_length_b 13.347
_cell_length_c 4.475
_cell_angle_alpha 90.00
_cell_angle_beta 90.00
_cell_angle_gamma 90.00
loop_
_atom_site_label
_atom_site_type_symbol
_atom_site_fract_x
_atom_site_fract_y
_atom_site_fract_z
K1 K 0.000 0.000 0.000
K2 K 0.236 0.500 0.500
K3 K 0.250 0.250 0.000
Al1 Al 0.000 0.384 0.500
Al2 Al 0.000 0.500 0.000

***

[12]
# LiDyTiRh | Alexandria | PBE | relaxed
# Final energy (eV for the cell shown): -91.61
# Calculated formation energy (eV/atom): -0.2848
# Total magnetic moment (μB/atom): 0.16
data_LiDyTiRh
_chemical_formula_sum 'Li4 Dy4 Ti4 Rh4'
_symmetry_space_group_name_H-M 'F -4 3 m'
_symmetry_Int_Tables_number 216
_symmetry_space_group_name_Hall 'F -4 2 3'
_cell_length_a 6.615
_cell_length_b 6.615
_cell_length_c 6.615
_cell_angle_alpha 90.00
_cell_angle_beta 90.00
_cell_angle_gamma 90.00
loop_
_atom_site_label
_atom_site_type_symbol
_atom_site_fract_x
_atom_site_fract_y
_atom_site_fract_z
Li1 Li 0.000 0.000 0.000
Dy1 Dy 0.250 0.250 0.250
Ti1 Ti 0.250 0.250 0.750
Rh1 Rh 0.000 0.000 0.500

***

final energy of number 4 (TlGeAu2)? -13.21 eV for the cell shown